The following is a DFT calculation (PBE with a Hubbard U) of an optimized crystal structure of Mn2Bi3Sb3O14.

The space group is R-3m (No. 166, hexagonal axes) and the conventional cell measures 7.5509, 7.5509 and 17.9778 Å, with angles of 90.00, 90.00 and 120.00 degrees. The asymmetric unit holds Mn at (0.0000, 0.0000, 0.0000), Mn at (0.0000, 0.0000, 0.5000), Bi at (0.0000, 0.5000, 0.0000), Sb at (0.0000, 0.5000, 0.5000), O at (0.0000, 0.0000, 0.3859), O at (0.0380, 0.5190, 0.6092) and O at (0.0652, 0.5326, 0.8519).

As for the total magnetization: 10.00 μB/f.u. As for the volume: 296 Å³/f.u. The uncorrected energy is -422.09 eV/cell.